[1]
# YAgSn

A relaxed YAgSn crystal (PBE, Alexandria via LeMat-Bulk).

Output
For the final energy, the calculation gives -4.8767 eV/atom. As for the space group: Cm, No. 8. As for the total magnetic moment: 0.0 μB per formula unit. As for the formation energy: -0.4373 eV/atom. For the volume, the calculation gives 24.20 Å³/atom.

The structure in POSCAR format:
```
YAgSn
1.0
5.090 -2.293 0.000
5.090 2.293 0.000
-0.016 0.000 6.219
Y Ag Sn
2 2 2
direct
0.000 0.000 0.000
0.620 0.620 0.432
0.316 0.316 0.718
0.694 0.694 0.923
0.303 0.303 0.194
0.925 0.925 0.516
```

---

[2]
# ZnCu3Si

A relaxed ZnCu3Si crystal (PBE, Alexandria via LeMat-Bulk).

Output
For the final energy, the calculation gives -3.3428 eV/atom. The calculation puts the relative energy among the computed polymorphs at 0.464 eV/atom. As for the space group: Pm-3m, No. 221. As for the total magnetic moment: 0.0 μB per formula unit. For the volume, the calculation gives 17.09 Å³/atom.

The structure in POSCAR format:
```
ZnCu3Si
1.0
4.404 0.000 0.000
0.000 4.404 0.000
0.000 0.000 4.404
Zn Cu Si
1 3 1
direct
0.000 0.000 0.000
0.000 0.500 0.500
0.500 0.000 0.500
0.500 0.500 0.000
0.500 0.500 0.500
```

---

[3]
# ZrSb2F

A relaxed ZrSb2F crystal (PBE, Alexandria via LeMat-Bulk).

Output
For the final energy, the calculation gives -5.2298 eV/atom. The calculation puts the relative energy among the computed polymorphs at 0.055 eV/atom. As for the space group: Fm-3m, No. 225. As for the total magnetic moment: 0.0 μB per formula unit. For the volume, the calculation gives 21.55 Å³/atom.

The structure in POSCAR format:
```
ZrSb2F
1.0
0.000 3.506 3.506
3.506 0.000 3.506
3.506 3.506 0.000
Zr Sb F
1 2 1
direct
0.000 0.000 0.000
0.250 0.250 0.250
0.750 0.750 0.750
0.500 0.500 0.500
```

---

[4]
# Sr3GaPd2O6

A relaxed Sr3GaPd2O6 crystal (PBE, Alexandria via LeMat-Bulk).

Output
For the final energy, the calculation gives -5.5516 eV/atom. As for the space group: P-3m1, No. 164. As for the total magnetic moment: 0.0 μB per formula unit. For the volume, the calculation gives 15.10 Å³/atom.

The structure in POSCAR format:
```
Sr3GaPd2O6
1.0
5.711 0.000 0.000
-2.855 4.946 0.000
0.000 0.000 6.414
Sr Ga Pd O
3 1 2 6
direct
0.000 0.000 0.000
0.333 0.667 0.624
0.667 0.333 0.376
0.000 0.000 0.500
0.333 0.667 0.123
0.667 0.333 0.877
0.162 0.324 0.314
0.162 0.838 0.314
0.324 0.162 0.686
0.676 0.838 0.314
0.838 0.162 0.686
0.838 0.676 0.686
```

---

[5]
# Th3Cu5S12

A relaxed Th3Cu5S12 crystal (PBE, Alexandria via LeMat-Bulk).

Output
For the final energy, the calculation gives -5.4924 eV/atom. As for the space group: Ia-3d, No. 230. As for the total magnetic moment: 0.0 μB per formula unit. For the volume, the calculation gives 20.64 Å³/atom.

The structure in POSCAR format:
```
Th3Cu5S12
1.0
-7.446 7.446 7.446
7.446 -7.446 7.446
7.446 7.446 -7.446
Th Cu S
12 20 48
direct
0.125 0.250 0.375
0.125 0.375 0.750
0.250 0.375 0.125
0.250 0.875 0.625
0.375 0.125 0.250
0.375 0.750 0.125
0.625 0.250 0.875
0.625 0.875 0.750
0.750 0.125 0.375
0.750 0.625 0.875
0.875 0.625 0.250
0.875 0.750 0.625
0.000 0.000 0.000
0.000 0.000 0.500
0.000 0.500 0.000
0.000 0.500 0.500
0.125 0.750 0.875
0.125 0.875 0.250
0.250 0.125 0.875
0.250 0.625 0.375
0.375 0.250 0.625
0.375 0.625 0.750
0.500 0.000 0.000
0.500 0.000 0.500
0.500 0.500 0.000
0.500 0.500 0.500
0.625 0.375 0.250
0.625 0.750 0.375
0.750 0.375 0.625
0.750 0.875 0.125
0.875 0.125 0.750
0.875 0.250 0.125
0.030 0.205 0.121
0.030 0.324 0.909
0.085 0.705 0.676
0.085 0.879 0.409
0.091 0.621 0.415
0.091 0.970 0.676
0.121 0.030 0.205
0.121 0.591 0.915
0.176 0.205 0.585
0.176 0.470 0.591
0.205 0.121 0.030
0.205 0.585 0.176
0.295 0.324 0.915
0.295 0.470 0.379
0.324 0.909 0.030
0.324 0.915 0.295
0.379 0.295 0.470
0.379 0.585 0.909
0.409 0.085 0.879
0.409 0.824 0.530
0.415 0.091 0.621
0.415 0.824 0.795
0.470 0.379 0.295
0.470 0.591 0.176
0.530 0.409 0.824
0.530 0.621 0.705
0.585 0.176 0.205
0.585 0.909 0.379
0.591 0.176 0.470
0.591 0.915 0.121
0.621 0.415 0.091
0.621 0.705 0.530
0.676 0.085 0.705
0.676 0.091 0.970
0.705 0.530 0.621
0.705 0.676 0.085
0.795 0.415 0.824
0.795 0.879 0.970
0.824 0.530 0.409
0.824 0.795 0.415
0.879 0.409 0.085
0.879 0.970 0.795
0.909 0.030 0.324
0.909 0.379 0.585
0.915 0.121 0.591
0.915 0.295 0.324
0.970 0.676 0.091
0.970 0.795 0.879
```

---

[6]
# TaAgRu

A relaxed TaAgRu crystal (PBE, Alexandria via LeMat-Bulk).

Output
For the final energy, the calculation gives -7.8042 eV/atom. The calculation puts the relative energy among the computed polymorphs at 0.142 eV/atom. As for the space group: P3m1, No. 156. As for the total magnetic moment: 0.0 μB per formula unit. As for the formation energy: 0.1890 eV/atom. For the volume, the calculation gives 16.50 Å³/atom.

The structure in POSCAR format:
```
TaAgRu
1.0
4.490 0.000 0.000
-2.245 3.889 0.000
0.000 0.000 2.835
Ta Ag Ru
1 1 1
direct
0.000 0.000 0.000
0.333 0.667 0.367
0.667 0.333 0.764
```

---

[7]
# Ca2LaSe

A relaxed Ca2LaSe crystal (PBE, Alexandria via LeMat-Bulk).

Output
For the final energy, the calculation gives -3.8758 eV/atom. As for the space group: Cm, No. 8. As for the total magnetic moment: 0.8 μB per formula unit. For the volume, the calculation gives 34.16 Å³/atom.

The structure in POSCAR format:
```
Ca2LaSe
1.0
5.914 -1.910 0.000
5.914 1.910 0.000
-3.098 0.000 6.049
Ca La Se
2 1 1
direct
0.000 0.000 0.000
0.189 0.189 0.711
0.817 0.817 0.344
0.539 0.539 0.351
```

---

[8]
# MgIrW2

A relaxed MgIrW2 crystal (PBE, Alexandria via LeMat-Bulk).

Output
For the final energy, the calculation gives -8.9152 eV/atom. As for the space group: P4/mmm, No. 123. As for the total magnetic moment: 0.0 μB per formula unit. As for the formation energy: 0.1753 eV/atom. For the volume, the calculation gives 16.29 Å³/atom.

The structure in POSCAR format:
```
MgIrW2
1.0
2.780 0.000 0.000
0.000 2.780 0.000
0.000 0.000 8.430
Mg Ir W
1 1 2
direct
0.000 0.000 0.000
0.000 0.000 0.500
0.500 0.500 0.268
0.500 0.500 0.732
```

---

[9]
# Hf4Ga5Pd

A relaxed Hf4Ga5Pd crystal (PBE, Alexandria via LeMat-Bulk).

Output
For the final energy, the calculation gives -6.3264 eV/atom. As for the space group: I4, No. 79. As for the total magnetic moment: 0.0 μB per formula unit. As for the formation energy: -0.3123 eV/atom. For the volume, the calculation gives 18.75 Å³/atom.

The structure in POSCAR format:
```
Hf4Ga5Pd
1.0
-4.096 4.096 2.793
4.096 -4.096 2.793
4.096 4.096 -2.793
Hf Ga Pd
4 5 1
direct
0.061 0.317 0.378
0.317 0.939 0.255
0.683 0.061 0.745
0.939 0.683 0.622
0.219 0.219 0.000
0.266 0.601 0.859
0.407 0.266 0.665
0.601 0.742 0.335
0.742 0.407 0.141
0.774 0.774 0.000
```

---

[10]
# TbAgHgGe

A relaxed TbAgHgGe crystal (PBE, Alexandria via LeMat-Bulk).

Output
For the final energy, the calculation gives -3.4294 eV/atom. As for the space group: F-43m, No. 216. As for the total magnetic moment: 0.0 μB per formula unit. As for the formation energy: -0.3293 eV/atom. For the volume, the calculation gives 21.77 Å³/atom.

The structure in POSCAR format:
```
TbAgHgGe
1.0
0.000 3.518 3.518
3.518 0.000 3.518
3.518 3.518 0.000
Tb Ag Hg Ge
1 1 1 1
direct
0.000 0.000 0.000
0.500 0.500 0.500
0.250 0.250 0.250
0.750 0.750 0.750
```

---

[11]
# Be2CuHgAu

A relaxed Be2CuHgAu crystal (PBE, Alexandria via LeMat-Bulk).

Output
For the final energy, the calculation gives -2.3374 eV/atom. As for the space group: P4/mmm, No. 123. As for the total magnetic moment: 0.0 μB per formula unit. As for the formation energy: 0.6881 eV/atom. For the volume, the calculation gives 17.14 Å³/atom.

The structure in POSCAR format:
```
Be2CuHgAu
1.0
4.194 0.000 0.000
0.000 4.194 0.000
0.000 0.000 4.871
Be Cu Hg Au
2 1 1 1
direct
0.000 0.500 0.000
0.500 0.000 0.000
0.000 0.000 0.000
0.000 0.000 0.500
0.500 0.500 0.500
```

---

[12]
# La2PuTh3Te6

A relaxed La2PuTh3Te6 crystal (PBE, Alexandria via LeMat-Bulk).

Output
For the final energy, the calculation gives -6.6573 eV/atom. As for the space group: C2/m, No. 12. As for the total magnetic moment: 5.6 μB per formula unit. For the volume, the calculation gives 32.11 Å³/atom.

The structure in POSCAR format:
```
La2PuTh3Te6
1.0
9.867 -2.242 0.000
9.867 2.242 0.000
-2.321 0.000 8.709
La Pu Th Te
2 1 3 6
direct
0.165 0.165 0.334
0.835 0.835 0.666
0.500 0.500 0.000
0.170 0.170 0.838
0.500 0.500 0.500
0.830 0.830 0.162
0.003 0.003 0.757
0.334 0.334 0.412
0.337 0.337 0.919
0.663 0.663 0.081
0.666 0.666 0.588
0.997 0.997 0.243
```